The following is a PBE calculation of a geometry-optimized CaTaAg structure, from the Alexandria database.

Lattice parameters (Å, degrees): 10.575 10.575 10.575 162.10 156.43 29.75
Positions (direct):
Ca 0.000 0.000 0.000
Ca 0.183 0.183 0.000
Ta 0.330 0.830 0.500
Ta 0.822 0.322 0.500
Ag 0.440 0.440 0.000
Ag 0.586 0.586 0.000

Values from the calculation:
DOS at the Fermi energy   2.7 states/eV/f.u.
Space-group type   Imm2
Calculated formation energy   0.27 eV/atom
Calculated volume   24.2 A^3/atom



The following is a PBE calculation of a geometry-optimized InHg5 structure, from the Alexandria database.

Lattice parameters (Å, degrees): 5.865 5.865 5.417 90.00 90.00 120.00
Positions (direct):
In 0.000 0.000 0.000
Hg 0.000 0.666 0.500
Hg 0.333 0.667 0.000
Hg 0.334 0.334 0.500
Hg 0.666 0.000 0.500
Hg 0.667 0.333 0.000

Values from the calculation:
DOS at the Fermi energy   1.9 states/eV/f.u.
Space-group type   P-62m
Calculated formation energy   0.01 eV/atom
Calculated volume   26.9 A^3/atom



The following is a PBE calculation of a geometry-optimized Sm3Zr5H12 structure, from the Alexandria database.

Lattice parameters (Å, degrees): 10.866 10.866 10.866 109.47 109.47 109.47
Positions (direct):
Sm 0.125 0.250 0.375
Sm 0.125 0.375 0.750
Sm 0.250 0.375 0.125
Sm 0.250 0.875 0.625
Sm 0.375 0.125 0.250
Sm 0.375 0.750 0.125
Sm 0.625 0.250 0.875
Sm 0.625 0.875 0.750
Sm 0.750 0.125 0.375
Sm 0.750 0.625 0.875
Sm 0.875 0.625 0.250
Sm 0.875 0.750 0.625
Zr 0.000 0.000 0.000
Zr 0.000 0.000 0.500
Zr 0.000 0.500 0.000
Zr 0.000 0.500 0.500
Zr 0.125 0.750 0.875
Zr 0.125 0.875 0.250
Zr 0.250 0.125 0.875
Zr 0.250 0.625 0.375
Zr 0.375 0.250 0.625
Zr 0.375 0.625 0.750
Zr 0.500 0.000 0.000
Zr 0.500 0.000 0.500
Zr 0.500 0.500 0.000
Zr 0.500 0.500 0.500
Zr 0.625 0.375 0.250
Zr 0.625 0.750 0.375
Zr 0.750 0.375 0.625
Zr 0.750 0.875 0.125
Zr 0.875 0.125 0.750
Zr 0.875 0.250 0.125
H 0.052 0.215 0.138
H 0.052 0.337 0.914
H 0.077 0.715 0.663
H 0.077 0.862 0.414
H 0.086 0.638 0.423
H 0.086 0.948 0.663
H 0.138 0.052 0.215
H 0.138 0.586 0.923
H 0.163 0.215 0.577
H 0.163 0.448 0.586
H 0.215 0.138 0.052
H 0.215 0.577 0.163
H 0.285 0.337 0.923
H 0.285 0.448 0.362
H 0.337 0.914 0.052
H 0.337 0.923 0.285
H 0.362 0.285 0.448
H 0.362 0.577 0.914
H 0.414 0.077 0.862
H 0.414 0.837 0.552
H 0.423 0.086 0.638
H 0.423 0.837 0.785
H 0.448 0.362 0.285
H 0.448 0.586 0.163
H 0.552 0.414 0.837
H 0.552 0.638 0.715
H 0.577 0.163 0.215
H 0.577 0.914 0.362
H 0.586 0.163 0.448
H 0.586 0.923 0.138
H 0.638 0.423 0.086
H 0.638 0.715 0.552
H 0.663 0.077 0.715
H 0.663 0.086 0.948
H 0.715 0.552 0.638
H 0.715 0.663 0.077
H 0.785 0.423 0.837
H 0.785 0.862 0.948
H 0.837 0.552 0.414
H 0.837 0.785 0.423
H 0.862 0.414 0.077
H 0.862 0.948 0.785
H 0.914 0.052 0.337
H 0.914 0.362 0.577
H 0.923 0.138 0.586
H 0.923 0.285 0.337
H 0.948 0.663 0.086
H 0.948 0.785 0.862

Values from the calculation:
Raw total energy   -5.293 eV per atom
DOS at the Fermi energy   10.5 states/eV/f.u.
Space-group type   Ia-3d
Calculated volume   12.3 A^3/atom



The following is a PBE calculation of a geometry-optimized BaNd4Ag5 structure, from the Alexandria database.

Lattice parameters (Å, degrees): 3.816 3.816 19.186 90.00 90.00 90.00
Positions (direct):
Ba 0.000 0.000 0.000
Nd 0.000 0.000 0.210
Nd 0.000 0.000 0.404
Nd 0.000 0.000 0.596
Nd 0.000 0.000 0.790
Ag 0.500 0.500 0.123
Ag 0.500 0.500 0.306
Ag 0.500 0.500 0.500
Ag 0.500 0.500 0.694
Ag 0.500 0.500 0.877

Values from the calculation:
DOS at the Fermi energy   10.0 states/eV/f.u.
Space-group type   P4/mmm
Calculated formation energy   -0.24 eV/atom
Calculated volume   27.9 A^3/atom